A plane-wave DFT calculation with PBE was carried out for LiNi2 after structural relaxation.

Computed properties:
The value obtained for the energy is -27.094 eV for the cell shown. The calculation puts the mass density at 6.21 g cm⁻³.

Cell lengths 4.7948, 4.7948, 6.0872 Å; angles 74.16, 74.16, 29.70 degrees
Last column: nearest neighbours and their distance in Å.
Sites, in units of the cell vectors:
Li (0.0010, 0.0010, 0.0112)  8 Ni 2.40-2.64, 4 Li 2.46-2.55
Li (0.6635, 0.6635, 0.6601)  8 Ni 2.45-2.68, 4 Li 2.46-2.55
Ni (0.3298, 0.3298, 0.3399)  4 Li 2.45-2.50, 8 Ni 2.46-2.51
Ni (0.3848, 0.3848, 0.7166)  7 Ni 2.46-2.51, 5 Li 2.50-2.64
Ni (0.0527, 0.0527, 0.3820)  3 Li 2.44-2.53, 9 Ni 2.46-2.53
Ni (0.7349, 0.7349, 0.0568)  4 Li 2.40-2.68, 8 Ni 2.46-2.53

=====

A plane-wave DFT calculation with PBE was carried out for Li3Ni8 after structural relaxation.

Computed properties:
The value obtained for the energy is -50.505 eV for the cell shown. The calculation puts the mass density at 6.25 g cm⁻³.

Cell lengths 7.4046, 4.1866, 4.3182 Å; angles 82.40, 84.24, 98.64 degrees
Last column: nearest neighbours and their distance in Å.
Sites, in units of the cell vectors:
Li (0.0000, 0.5000, 0.5000)  12 Ni 2.40-2.57
Li (0.5000, 0.0000, 0.5000)  6 Ni 2.39-2.48
Li (0.5000, 0.5000, 0.0000)  4 Ni 2.36-2.48
Ni (0.7621, 0.0433, 0.7827)  7 Ni 2.38-2.55, 2 Li 2.39-2.49
Ni (0.8366, 0.5329, 0.0013)  8 Ni 2.38-2.53, 3 Li 2.40-2.57
Ni (0.0938, 0.9809, 0.7394)  9 Ni 2.41-2.61, 2 Li 2.42-2.51
Ni (0.6793, 0.5499, 0.5066)  4 Li 2.36-2.48, 6 Ni 2.38-2.63
Ni (0.3207, 0.4501, 0.4934)  4 Li 2.36-2.48, 6 Ni 2.38-2.63
Ni (0.9062, 0.0191, 0.2606)  9 Ni 2.41-2.61, 2 Li 2.42-2.51
Ni (0.1634, 0.4671, 0.9987)  8 Ni 2.38-2.53, 3 Li 2.40-2.57
Ni (0.2379, 0.9567, 0.2173)  7 Ni 2.38-2.55, 2 Li 2.39-2.49

=====

A plane-wave DFT calculation with PBE was carried out for LiNi2 after structural relaxation.

Computed properties:
The value obtained for the energy is -13.415 eV for the cell shown. The calculation puts the mass density at 6.10 g cm⁻³.

Cell lengths 2.4909, 2.4909, 6.2966 Å; angles 90.00, 90.00, 120.00 degrees
Last column: nearest neighbours and their distance in Å.
Sites, in units of the cell vectors:
Ni (0.3333, 0.6667, 0.6609)  9 Ni 2.48-2.49, 3 Li 2.57
Ni (0.6667, 0.3333, 0.3391)  9 Ni 2.48-2.49, 3 Li 2.57
Li (0.0000, 0.0000, 0.0000)  6 Li 2.49, 6 Ni 2.57

=====

A plane-wave DFT calculation with PBE was carried out for LiNi after structural relaxation.

Computed properties:
The value obtained for the energy is -15.533 eV for the cell shown. The calculation puts the mass density at 4.80 g cm⁻³.

Cell lengths 2.5026, 2.5026, 8.3763 Å; angles 90.00, 90.00, 120.00 degrees
Last column: nearest neighbours and their distance in Å.
Sites, in units of the cell vectors:
Li (0.6667, 0.3333, 0.7500)  6 Li 2.50, 6 Ni 2.54
Li (0.3333, 0.6667, 0.2500)  6 Li 2.50, 6 Ni 2.54
Ni (0.0000, 0.0000, 0.0000)  6 Ni 2.50, 6 Li 2.54
Ni (0.0000, 0.0000, 0.5000)  6 Ni 2.50, 6 Li 2.54

=====

A plane-wave DFT calculation with PBE was carried out for LiNi after structural relaxation.

Computed properties:
The value obtained for the energy is -7.571 eV for the cell shown. The calculation puts the mass density at 4.68 g cm⁻³.

Cell lengths 2.4381, 2.4381, 3.9177 Å; angles 90.00, 90.00, 90.00 degrees
Last column: nearest neighbours and their distance in Å.
Sites, in units of the cell vectors:
Ni (0.5000, 0.5000, 0.5000)  4 Ni 2.44, 8 Li 2.61
Li (0.0000, 0.0000, 0.0000)  4 Li 2.44, 8 Ni 2.61

=====

A plane-wave DFT calculation with PBE was carried out for LiNi3 after structural relaxation.

Computed properties:
The value obtained for the energy is -37.453 eV for the cell shown. The calculation puts the mass density at 6.50 g cm⁻³.

Cell lengths 4.7331, 4.7331, 4.1782 Å; angles 90.00, 90.00, 91.77 degrees
Last column: nearest neighbours and their distance in Å.
Sites, in units of the cell vectors:
Li (0.4593, 0.5407, 0.2500)  2 Li 2.16, 2 Ni 2.41
Li (0.5407, 0.4593, 0.7500)  2 Li 2.16, 2 Ni 2.41
Ni (0.8987, 0.1013, 0.7500)  10 Ni 2.42-2.51, 1 Li 2.43
Ni (0.1013, 0.8987, 0.2500)  10 Ni 2.42-2.51, 1 Li 2.43
Ni (0.0322, 0.6116, 0.7500)  7 Ni 2.35-2.51, 2 Li 2.41-2.53
Ni (0.9678, 0.3884, 0.2500)  7 Ni 2.35-2.51, 2 Li 2.41-2.53
Ni (0.3884, 0.9678, 0.7500)  7 Ni 2.35-2.51, 2 Li 2.41-2.53
Ni (0.6116, 0.0322, 0.2500)  7 Ni 2.35-2.51, 2 Li 2.41-2.53

=====

A plane-wave DFT calculation with PBE was carried out for LiNi3 after structural relaxation.

Computed properties:
The value obtained for the energy is -19.259 eV for the cell shown. The calculation puts the mass density at 6.96 g cm⁻³.

Cell lengths 2.4645, 4.0920, 4.3274 Å; angles 90.00, 90.00, 90.00 degrees
Last column: nearest neighbours and their distance in Å.
Sites, in units of the cell vectors:
Ni (0.5000, 0.0000, 0.4982)  8 Ni 2.46-2.50, 4 Li 2.48-2.50
Ni (0.5000, 0.5000, 0.8315)  8 Ni 2.46-2.51, 4 Li 2.50
Ni (0.0000, 0.5000, 0.3370)  10 Ni 2.46-2.51, 2 Li 2.51
Li (0.0000, 0.0000, 0.9999)  2 Li 2.46, 10 Ni 2.48-2.51

=====

A plane-wave DFT calculation with PBE was carried out for LiNi after structural relaxation.

Computed properties:
The value obtained for the energy is -45.059 eV for the cell shown. The calculation puts the mass density at 3.84 g cm⁻³.

Cell lengths 7.2945, 7.2945, 3.6998 Å; angles 90.00, 90.00, 120.00 degrees
Last column: nearest neighbours and their distance in Å.
Sites, in units of the cell vectors:
Li (0.8258, 0.6515, 0.2500)  6 Ni 2.53-2.57
Li (0.1742, 0.8258, 0.7500)  6 Ni 2.53-2.57
Li (0.3485, 0.1742, 0.2500)  6 Ni 2.53-2.57
Li (0.1742, 0.3485, 0.7500)  6 Ni 2.53-2.57
Li (0.8258, 0.1742, 0.2500)  6 Ni 2.53-2.57
Li (0.6515, 0.8258, 0.7500)  6 Ni 2.53-2.57
Ni (0.4416, 0.8832, 0.2500)  4 Ni 2.37, 6 Li 2.53-2.57
Ni (0.5584, 0.4416, 0.7500)  4 Ni 2.37, 6 Li 2.53-2.57
Ni (0.1168, 0.5584, 0.2500)  4 Ni 2.37, 6 Li 2.53-2.57
Ni (0.5584, 0.1168, 0.7500)  4 Ni 2.37, 6 Li 2.53-2.57
Ni (0.4416, 0.5584, 0.2500)  4 Ni 2.37, 6 Li 2.53-2.57
Ni (0.8832, 0.4416, 0.7500)  4 Ni 2.37, 6 Li 2.53-2.57

=====

A plane-wave DFT calculation with PBE was carried out for LiNi3 after structural relaxation.

Computed properties:
The value obtained for the energy is -19.368 eV for the cell shown. The calculation puts the mass density at 7.00 g cm⁻³.

Cell lengths 4.3362, 4.3362, 2.4578 Å; angles 90.00, 90.00, 110.05 degrees
Last column: nearest neighbours and their distance in Å.
Sites, in units of the cell vectors:
Ni (0.0000, 0.5000, 0.5000)  8 Ni 2.46-2.49, 4 Li 2.49
Ni (0.5000, 0.0000, 0.5000)  8 Ni 2.46-2.49, 4 Li 2.49
Ni (0.5000, 0.5000, 0.0000)  10 Ni 2.46-2.49, 2 Li 2.49
Li (0.0000, 0.0000, 0.0000)  2 Li 2.46, 10 Ni 2.49

=====

A plane-wave DFT calculation with PBE was carried out for Li5Ni after structural relaxation.

Computed properties:
The value obtained for the energy is -14.948 eV for the cell shown. The calculation puts the mass density at 1.65 g cm⁻³.

Cell lengths 6.0056, 6.0056, 4.0380 Å; angles 90.00, 90.00, 139.85 degrees
Last column: nearest neighbours and their distance in Å.
Sites, in units of the cell vectors:
Li (0.8232, 0.1768, 0.5000)  2 Ni 2.63, 6 Li 2.66-2.89
Li (0.6262, 0.3738, 0.0000)  6 Li 2.66-2.89, 2 Ni 2.69
Li (0.4722, 0.5278, 0.5000)  8 Li 2.66-2.67, 4 Ni 2.89
Li (0.3179, 0.6821, 0.0000)  6 Li 2.67-2.89, 2 Ni 2.70
Li (0.1213, 0.8787, 0.5000)  2 Ni 2.63, 6 Li 2.66-2.89
Ni (0.9725, 0.0275, 0.0000)  12 Li 2.63-2.89

=====

A plane-wave DFT calculation with PBE was carried out for LiNi3 after structural relaxation.

Computed properties:
The value obtained for the energy is -19.203 eV for the cell shown. The calculation puts the mass density at 6.80 g cm⁻³.

Cell lengths 2.4927, 2.4927, 8.3086 Å; angles 90.00, 90.00, 120.00 degrees
Last column: nearest neighbours and their distance in Å.
Sites, in units of the cell vectors:
Ni (0.0000, 0.0000, 0.5000)  12 Ni 2.49
Ni (0.6667, 0.3333, 0.2558)  9 Ni 2.49, 3 Li 2.57
Ni (0.6667, 0.3333, 0.7442)  9 Ni 2.49, 3 Li 2.57
Li (0.0000, 0.0000, 0.0000)  6 Li 2.49, 6 Ni 2.57

=====

A plane-wave DFT calculation with PBE was carried out for LiNi4 after structural relaxation.

Computed properties:
The value obtained for the energy is -24.951 eV for the cell shown. The calculation puts the mass density at 7.39 g cm⁻³. As for the energy relative to the lowest polymorph listed for this composition: 0.0000 eV per atom.

Cell lengths 4.2937, 4.2937, 4.2937 Å; angles 99.89, 99.89, 131.03 degrees
Last column: nearest neighbours and their distance in Å.
Sites, in units of the cell vectors:
Li (0.0000, 0.0000, 0.0000)  12 Ni 2.46-2.50
Ni (0.8028, 0.4000, 0.2029)  9 Ni 2.44-2.50, 3 Li 2.46-2.50
Ni (0.4000, 0.1972, 0.5972)  9 Ni 2.44-2.50, 3 Li 2.46-2.50
Ni (0.1972, 0.6000, 0.7971)  9 Ni 2.44-2.50, 3 Li 2.46-2.50
Ni (0.6000, 0.8028, 0.4028)  9 Ni 2.44-2.50, 3 Li 2.46-2.50

=====

Values for E_form, eV/atom, ordered as above
-0.024; 0.135; 0.020; -0.036; 0.062; 0.133; 0.000; 0.093; -0.028; 0.067; 0.014; 0.018